Sc2Tl3SnTe6 | PBE-GGA | relaxed

The structure in extended XYZ format:
```
12
Lattice="3.7865 -6.5699 0.0000 3.7865 6.5699 0.0000 -2.5007 0.0000 7.8930" Properties=species:S:1:pos:R:3 pbc="T T T"
Sc 3.7865 4.3566 0.0000
Sc 3.7865 -4.3566 0.0000
Tl -1.2504 0.0000 3.9465
Tl 2.5362 2.1219 3.9465
Tl 2.5362 -2.1219 3.9465
Sn 3.7865 0.0000 0.0000
Te -0.0387 2.2868 6.2464
Te 1.1476 0.0000 1.6054
Te -0.0387 -2.2868 6.2464
Te 5.1110 2.2868 1.6466
Te 3.9247 0.0000 6.2876
Te 5.1110 -2.2868 1.6466
```

Output
The total DFT energy (no corrections) comes out at -4.25 eV per atom. The value obtained for the formation energy without anion corrections is -0.702 eV/atom. The density of states at the Fermi level is 4.81 states/eV per cell.